First-principles (PBE) data for a relaxed structure of Co2IrPt2Rh2, as listed in the Alexandria database.

E ... -7.12 eV/atom
Total magnetic moment ... 4.692 μB per formula unit
Crystal system ... monoclinic
Energy of formation ... 0.000 eV per atom

Lattice parameters (Å, degrees): 4.656 4.656 6.063 97.33 97.33 48.32
Atoms (fractional coordinates):
Co1 0.217 0.217 0.130
Co2 0.783 0.783 0.870
Ir1 0.500 0.500 0.000
Pt1 0.355 0.355 0.579
Pt2 0.645 0.645 0.421
Rh1 0.072 0.072 0.728
Rh2 0.928 0.928 0.272

First-principles (PBE) data for a relaxed structure of Rb2HfCBr, as listed in the Alexandria database.

E ... -2.83 eV/atom
Total magnetic moment ... 2.718 μB per formula unit
Crystal system ... tetragonal

Lattice parameters (Å, degrees): 7.262 7.262 5.124 90.00 90.00 90.00
Atoms (fractional coordinates):
Rb1 0.000 0.500 0.000
Rb2 0.500 0.000 0.000
Hf1 0.000 0.000 0.000
C1 0.500 0.500 0.500
Br1 0.000 0.000 0.500

First-principles (PBE) data for a relaxed structure of La3ErPt2, as listed in the Alexandria database.

E ... -6.02 eV/atom
Total magnetic moment ... 0.000 μB per formula unit
Crystal system ... orthorhombic
Energy of formation ... -0.780 eV per atom

Lattice parameters (Å, degrees): 8.183 8.183 8.183 146.14 145.62 49.03
Atoms (fractional coordinates):
La1 0.000 0.000 0.000
La2 0.312 0.812 0.500
La3 0.688 0.188 0.500
Er1 0.500 0.500 0.000
Pt1 0.125 0.625 0.500
Pt2 0.875 0.375 0.500

First-principles (PBE) data for a relaxed structure of Li3Ag2Br6, as listed in the Alexandria database.

E ... -2.86 eV/atom
Total magnetic moment ... 0.142 μB per formula unit
Crystal system ... trigonal

Lattice parameters (Å, degrees): 19.872 19.872 19.872 11.51 11.51 11.51
Atoms (fractional coordinates):
Li1 0.000 0.000 0.000
Li2 0.280 0.280 0.280
Li3 0.720 0.720 0.720
Ag1 0.445 0.445 0.445
Ag2 0.555 0.555 0.555
Br1 0.079 0.079 0.079
Br2 0.198 0.198 0.198
Br3 0.360 0.360 0.360
Br4 0.640 0.640 0.640
Br5 0.802 0.802 0.802
Br6 0.921 0.921 0.921

First-principles (PBE) data for a relaxed structure of Sc3BeBi, as listed in the Alexandria database.

E ... -5.52 eV/atom
Total magnetic moment ... 0.000 μB per formula unit
Crystal system ... cubic
Energy above the most stable polymorph in this dataset ... 0.0 kJ/mol of formula units
Energy of formation ... -0.195 eV per atom

Lattice parameters (Å, degrees): 4.839 4.839 4.839 90.00 90.00 90.00
Atoms (fractional coordinates):
Sc1 0.000 0.000 0.500
Sc2 0.000 0.500 0.000
Sc3 0.500 0.000 0.000
Be1 0.000 0.000 0.000
Bi1 0.500 0.500 0.500

First-principles (PBE) data for a relaxed structure of Tb2Er6Th, as listed in the Alexandria database.

E ... -4.83 eV/atom
Total magnetic moment ... 0.748 μB per formula unit
Crystal system ... hexagonal
Energy above the most stable polymorph in this dataset ... 0.0 kJ/mol of formula units
Energy of formation ... 0.061 eV per atom

Lattice parameters (Å, degrees): 3.554 3.554 26.012 90.00 90.00 120.00
Atoms (fractional coordinates):
Tb1 0.000 0.000 0.172
Tb2 0.000 0.000 0.828
Er1 0.000 0.000 0.389
Er2 0.000 0.000 0.611
Er3 0.667 0.333 0.064
Er4 0.667 0.333 0.282
Er5 0.667 0.333 0.718
Er6 0.667 0.333 0.936
Th1 0.667 0.333 0.500

First-principles (PBE) data for a relaxed structure of LiTm12Ru6, as listed in the Alexandria database.

E ... -5.98 eV/atom
Total magnetic moment ... 0.000 μB per formula unit
Crystal system ... trigonal
Energy of formation ... -0.121 eV per atom

Lattice parameters (Å, degrees): 8.071 8.071 8.071 101.32 101.32 101.32
Atoms (fractional coordinates):
Li1 0.000 0.000 0.000
Tm1 0.069 0.664 0.924
Tm2 0.076 0.931 0.336
Tm3 0.176 0.417 0.555
Tm4 0.336 0.076 0.931
Tm5 0.417 0.555 0.176
Tm6 0.445 0.824 0.583
Tm7 0.555 0.176 0.417
Tm8 0.583 0.445 0.824
Tm9 0.664 0.924 0.069
Tm10 0.824 0.583 0.445
Tm11 0.924 0.069 0.664
Tm12 0.931 0.336 0.076
Ru1 0.140 0.615 0.303
Ru2 0.303 0.140 0.615
Ru3 0.385 0.697 0.860
Ru4 0.615 0.303 0.140
Ru5 0.697 0.860 0.385
Ru6 0.860 0.385 0.697

First-principles (PBE) data for a relaxed structure of Ca3Hf2PaAs6, as listed in the Alexandria database.

E ... -6.43 eV/atom
Total magnetic moment ... 0.000 μB per formula unit
Crystal system ... monoclinic
Energy of formation ... -1.157 eV per atom

Lattice parameters (Å, degrees): 6.959 6.959 7.209 99.29 99.29 120.01
Atoms (fractional coordinates):
Ca1 0.000 0.000 0.000
Ca2 0.336 0.664 0.000
Ca3 0.664 0.336 0.000
Hf1 0.167 0.833 0.500
Hf2 0.833 0.167 0.500
Pa1 0.500 0.500 0.500
As1 0.083 0.424 0.272
As2 0.234 0.234 0.726
As3 0.424 0.083 0.272
As4 0.576 0.917 0.728
As5 0.766 0.766 0.274
As6 0.917 0.576 0.728

First-principles (PBE) data for a relaxed structure of Tm2CuTc3, as listed in the Alexandria database.

E ... -7.59 eV/atom
Total magnetic moment ... 0.000 μB per formula unit
Crystal system ... monoclinic
Energy of formation ... -0.238 eV per atom

Lattice parameters (Å, degrees): 5.220 5.220 5.437 118.76 118.76 59.88
Atoms (fractional coordinates):
Tm1 0.122 0.122 0.366
Tm2 0.878 0.878 0.634
Cu1 0.500 0.500 0.500
Tc1 0.000 0.500 0.000
Tc2 0.500 0.000 0.000
Tc3 0.500 0.500 0.000

First-principles (PBE) data for a relaxed structure of ZnCoW2, as listed in the Alexandria database.

E ... -8.30 eV/atom
Total magnetic moment ... 0.000 μB per formula unit
Crystal system ... orthorhombic
Energy of formation ... 0.272 eV per atom

Lattice parameters (Å, degrees): 4.793 4.793 2.668 90.00 90.00 112.73
Atoms (fractional coordinates):
Zn1 0.000 0.000 0.000
Co1 0.500 0.500 0.000
W1 0.000 0.500 0.500
W2 0.500 0.000 0.500

First-principles (PBE) data for a relaxed structure of SrLiCl2, as listed in the Alexandria database.

E ... -3.27 eV/atom
Total magnetic moment ... 0.000 μB per formula unit
Crystal system ... orthorhombic
Energy above the most stable polymorph in this dataset ... 76.6 kJ/mol of formula units

Lattice parameters (Å, degrees): 3.897 4.408 5.487 90.00 90.00 90.00
Atoms (fractional coordinates):
Sr1 0.000 0.000 0.000
Li1 0.000 0.500 0.500
Cl1 0.500 0.000 0.500
Cl2 0.500 0.500 0.000

First-principles (PBE) data for a relaxed structure of Tl2Pd2Br7, as listed in the Alexandria database.

E ... -2.90 eV/atom
Total magnetic moment ... 0.000 μB per formula unit
Crystal system ... monoclinic
Energy above the most stable polymorph in this dataset ... 0.0 kJ/mol of formula units

Lattice parameters (Å, degrees): 8.954 11.506 6.665 90.00 91.29 90.00
Atoms (fractional coordinates):
Tl1 0.172 0.102 0.212
Tl2 0.172 0.398 0.712
Tl3 0.828 0.602 0.288
Tl4 0.828 0.898 0.788
Pd1 0.325 0.661 0.343
Pd2 0.325 0.839 0.843
Pd3 0.675 0.161 0.157
Pd4 0.675 0.339 0.657
Br1 0.149 0.670 0.642
Br2 0.149 0.830 0.142
Br3 0.164 0.003 0.702
Br4 0.164 0.497 0.202
Br5 0.476 0.678 0.024
Br6 0.476 0.822 0.524
Br7 0.500 0.000 0.000
Br8 0.500 0.500 0.500
Br9 0.524 0.178 0.476
Br10 0.524 0.322 0.976
Br11 0.836 0.503 0.798
Br12 0.836 0.997 0.298
Br13 0.851 0.170 0.858
Br14 0.851 0.330 0.358

First-principles (PBE) data for a relaxed structure of Cs3InBi2, as listed in the Alexandria database.

E ... -2.55 eV/atom
Total magnetic moment ... 0.000 μB per formula unit
Crystal system ... orthorhombic
Energy above the most stable polymorph in this dataset ... 0.0 kJ/mol of formula units
Energy of formation ... -0.377 eV per atom

Lattice parameters (Å, degrees): 10.387 10.387 10.387 126.04 73.09 134.62
Atoms (fractional coordinates):
Cs1 0.173 0.697 0.870
Cs2 0.250 0.250 0.000
Cs3 0.327 0.197 0.524
Cs4 0.673 0.803 0.476
Cs5 0.750 0.750 0.000
Cs6 0.827 0.303 0.130
In1 0.250 0.750 0.500
In2 0.750 0.250 0.500
Bi1 0.093 0.317 0.410
Bi2 0.407 0.817 0.224
Bi3 0.593 0.183 0.776
Bi4 0.907 0.683 0.590

First-principles (PBE) data for a relaxed structure of AgP2SCl, as listed in the Alexandria database.

E ... -2.61 eV/atom
Total magnetic moment ... 0.741 μB per formula unit
Crystal system ... tetragonal
Energy above the most stable polymorph in this dataset ... 213.1 kJ/mol of formula units

Lattice parameters (Å, degrees): 4.604 4.604 4.929 90.00 90.00 90.00
Atoms (fractional coordinates):
Ag1 0.000 0.000 0.000
P1 0.000 0.500 0.500
P2 0.500 0.000 0.500
S1 0.500 0.500 0.000
Cl1 0.500 0.500 0.500

First-principles (PBE) data for a relaxed structure of Tb2Tm5Sc4, as listed in the Alexandria database.

E ... -5.06 eV/atom
Total magnetic moment ... 0.011 μB per formula unit
Crystal system ... monoclinic
Energy of formation ... 0.120 eV per atom

Lattice parameters (Å, degrees): 8.393 3.445 11.093 90.00 97.44 90.00
Atoms (fractional coordinates):
Tb1 0.060 0.000 0.138
Tb2 0.940 0.000 0.862
Tm1 0.156 0.000 0.638
Tm2 0.451 0.000 0.196
Tm3 0.500 0.000 0.500
Tm4 0.549 0.000 0.804
Tm5 0.844 0.000 0.362
Sc1 0.191 0.500 0.379
Sc2 0.284 0.500 0.947
Sc3 0.716 0.500 0.053
Sc4 0.809 0.500 0.621

First-principles (PBE) data for a relaxed structure of ScTlCd2, as listed in the Alexandria database.

E ... -2.66 eV/atom
Total magnetic moment ... 0.000 μB per formula unit
Crystal system ... trigonal
Energy above the most stable polymorph in this dataset ... 57.7 kJ/mol of formula units
Energy of formation ... -0.031 eV per atom

Lattice parameters (Å, degrees): 10.474 10.474 10.474 18.36 18.36 18.36
Atoms (fractional coordinates):
Sc1 0.000 0.000 0.000
Tl1 0.500 0.500 0.500
Cd1 0.255 0.255 0.255
Cd2 0.745 0.745 0.745

First-principles (PBE) data for a relaxed structure of Cu2TcI, as listed in the Alexandria database.

E ... -4.66 eV/atom
Total magnetic moment ... 0.000 μB per formula unit
Crystal system ... triclinic
Energy above the most stable polymorph in this dataset ... 67.3 kJ/mol of formula units

Lattice parameters (Å, degrees): 3.687 6.078 7.400 73.32 88.27 88.34
Atoms (fractional coordinates):
Cu1 0.000 0.000 0.000
Cu2 0.001 0.885 0.703
Cu3 0.022 0.317 0.492
Cu4 0.502 0.142 0.747
Tc1 0.482 0.587 0.617
Tc2 0.983 0.432 0.810
I1 0.338 0.989 0.337
I2 0.868 0.558 0.127

First-principles (PBE) data for a relaxed structure of ScAuC2Br, as listed in the Alexandria database.

E ... -3.64 eV/atom
Total magnetic moment ... 0.000 μB per formula unit
Crystal system ... tetragonal

Lattice parameters (Å, degrees): 4.143 4.143 5.023 90.00 90.00 90.00
Atoms (fractional coordinates):
Sc1 0.000 0.000 0.000
Au1 0.500 0.500 0.000
C1 0.000 0.500 0.500
C2 0.500 0.000 0.500
Br1 0.500 0.500 0.500

First-principles (PBE) data for a relaxed structure of Ce2InH, as listed in the Alexandria database.

E ... -4.68 eV/atom
Total magnetic moment ... 1.587 μB per formula unit
Crystal system ... monoclinic
Energy above the most stable polymorph in this dataset ... 74.4 kJ/mol of formula units

Lattice parameters (Å, degrees): 7.228 7.228 7.524 97.35 97.35 25.64
Atoms (fractional coordinates):
Ce1 0.030 0.030 0.286
Ce2 0.210 0.210 0.628
Ce3 0.790 0.790 0.372
Ce4 0.970 0.970 0.714
In1 0.355 0.355 0.010
In2 0.645 0.645 0.990
H1 0.422 0.422 0.460
H2 0.578 0.578 0.540

First-principles (PBE) data for a relaxed structure of LaNdTlI, as listed in the Alexandria database.

E ... -4.06 eV/atom
Total magnetic moment ... 0.000 μB per formula unit
Crystal system ... trigonal
Energy above the most stable polymorph in this dataset ... 0.0 kJ/mol of formula units

Lattice parameters (Å, degrees): 7.883 7.883 7.883 34.29 34.29 34.29
Atoms (fractional coordinates):
La1 0.000 0.000 0.000
Nd1 0.487 0.487 0.487
Tl1 0.745 0.745 0.745
I1 0.242 0.242 0.242

First-principles (PBE) data for a relaxed structure of Cs2Hg6PdAu, as listed in the Alexandria database.

E ... -1.45 eV/atom
Total magnetic moment ... 0.000 μB per formula unit
Crystal system ... monoclinic
Energy of formation ... -0.247 eV per atom

Lattice parameters (Å, degrees): 7.823 7.823 7.825 119.87 119.87 90.10
Atoms (fractional coordinates):
Cs1 0.247 0.753 0.000
Cs2 0.753 0.247 0.000
Hg1 0.246 0.754 0.500
Hg2 0.249 0.249 0.505
Hg3 0.249 0.249 0.992
Hg4 0.751 0.751 0.008
Hg5 0.751 0.751 0.495
Hg6 0.754 0.246 0.500
Pd1 0.000 0.000 0.500
Au1 0.500 0.500 0.500

First-principles (PBE) data for a relaxed structure of Ac5Y4, as listed in the Alexandria database.

E ... -5.10 eV/atom
Total magnetic moment ... 0.000 μB per formula unit
Crystal system ... orthorhombic
Energy of formation ... 0.056 eV per atom

Lattice parameters (Å, degrees): 10.013 10.013 10.013 157.87 110.39 74.05
Atoms (fractional coordinates):
Ac1 0.000 0.000 0.000
Ac2 0.325 0.325 0.000
Ac3 0.330 0.000 0.330
Ac4 0.670 0.000 0.670
Ac5 0.675 0.675 0.000
Y1 0.001 0.331 0.669
Y2 0.338 0.669 0.669
Y3 0.662 0.331 0.331
Y4 0.999 0.669 0.331

First-principles (PBE) data for a relaxed structure of Pm7Sm2Ho3, as listed in the Alexandria database.

E ... -4.63 eV/atom
Total magnetic moment ... 0.000 μB per formula unit
Crystal system ... monoclinic
Energy above the most stable polymorph in this dataset ... 0.0 kJ/mol of formula units
Energy of formation ... 0.068 eV per atom

Lattice parameters (Å, degrees): 6.449 3.565 17.629 90.00 95.94 90.00
Atoms (fractional coordinates):
Pm1 0.000 0.000 0.000
Pm2 0.226 0.500 0.170
Pm3 0.258 0.500 0.496
Pm4 0.277 0.000 0.835
Pm5 0.723 0.000 0.165
Pm6 0.742 0.500 0.504
Pm7 0.774 0.500 0.830
Sm1 0.059 0.500 0.671
Sm2 0.941 0.500 0.329
Ho1 0.454 0.000 0.341
Ho2 0.500 0.500 0.000
Ho3 0.546 0.000 0.659

First-principles (PBE) data for a relaxed structure of RbBOs3, as listed in the Alexandria database.

E ... -3.29 eV/atom
Total magnetic moment ... 5.697 μB per formula unit
Crystal system ... cubic
Energy above the most stable polymorph in this dataset ... 1689.8 kJ/mol of formula units
Energy of formation ... 4.976 eV per atom

Lattice parameters (Å, degrees): 4.845 4.845 4.845 90.00 90.00 90.00
Atoms (fractional coordinates):
Rb1 0.000 0.000 0.000
B1 0.500 0.500 0.500
Os1 0.000 0.000 0.500
Os2 0.000 0.500 0.000
Os3 0.500 0.000 0.000